Entry 1:
The following is a PBE calculation of a relaxed structure of HgIrBr2, from Alexandria via LeMat-Bulk.

Geometry as POSCAR:
```
HgIrBr2
1.0
5.0643 0.0000 0.0000
0.0000 5.0643 0.0000
0.0000 0.0000 3.3238
Hg Ir Br
1 1 2
Cartesian
0.0000 0.0000 0.0000 Hg
2.5321 2.5321 0.0000 Ir
0.0000 2.5321 1.6619 Br
2.5321 0.0000 1.6619 Br
```

Calculated values
- SG = No. 123
- VASP energy (eV/atom) = -2.170
- relative energy among the computed polymorphs (meV/atom) = 878.2
- volume (Å³/cell) = 85

=====

Entry 2:
The following is a PBE calculation of a relaxed structure of MnZnAs2Br, from Alexandria via LeMat-Bulk.

Geometry as POSCAR:
```
MnZnAs2Br
1.0
4.6013 0.0000 0.0000
0.0000 4.6013 0.0000
0.0000 0.0000 5.4163
Mn Zn As Br
1 1 2 1
Cartesian
0.0000 0.0000 0.0000 Mn
2.3007 2.3007 2.7082 Zn
0.0000 2.3007 0.0000 As
2.3007 0.0000 0.0000 As
0.0000 0.0000 2.7082 Br
```

Calculated values
- SG = No. 123
- VASP energy (eV/atom) = -3.962
- relative energy among the computed polymorphs (meV/atom) = 0.0
- volume (Å³/cell) = 115

=====

Entry 3:
The following is a PBE calculation of a relaxed structure of In2Au, from Alexandria via LeMat-Bulk.

Geometry as POSCAR:
```
In2Au
1.0
1.9791 -6.9216 0.0000
1.9791 6.9216 0.0000
0.0000 0.0000 5.4256
In Au
4 2
Cartesian
1.9791 6.1480 4.0692 In
1.9791 1.9560 4.0692 In
1.9791 -1.9560 1.3564 In
1.9791 -6.1480 1.3564 In
1.9791 2.8475 1.3564 Au
1.9791 -2.8475 4.0692 Au
```

Calculated values
- SG = No. 63
- formation energy from the elements (eV/atom) = -0.101
- VASP energy (eV/atom) = -3.019
- volume (Å³/cell) = 149

=====

Entry 4:
The following is a PBE calculation of a relaxed structure of Sm3Dy7Y2, from Alexandria via LeMat-Bulk.

Geometry as POSCAR:
```
Sm3Dy7Y2
1.0
6.3538 0.0000 0.0000
0.0000 3.5273 0.0000
-1.9023 0.0000 17.4186
Sm Dy Y
3 7 2
Cartesian
0.0000 0.0000 0.0000 Sm
-0.9446 1.7637 11.4716 Sm
5.3961 1.7637 5.9470 Sm
1.1388 1.7637 2.8778 Dy
0.6086 0.0000 8.7251 Dy
0.1590 0.0000 14.5165 Dy
3.1769 1.7637 0.0000 Dy
4.2925 0.0000 2.9021 Dy
3.8429 0.0000 8.6935 Dy
3.3127 1.7637 14.5408 Dy
2.1962 0.0000 5.6945 Y
2.2553 0.0000 11.7241 Y
```

Calculated values
- SG = No. 10
- formation energy from the elements (eV/atom) = 0.082
- VASP energy (eV/atom) = -4.859
- relative energy among the computed polymorphs (meV/atom) = 0.0
- volume (Å³/cell) = 390

=====

Entry 5:
The following is a PBE calculation of a relaxed structure of Ta6NbFe5, from Alexandria via LeMat-Bulk.

Geometry as POSCAR:
```
Ta6NbFe5
1.0
-2.1955 3.1102 6.5752
2.1955 -3.1102 6.5752
2.1955 3.1102 -6.5752
Ta Nb Fe
6 1 5
Cartesian
2.1955 1.5284 -2.2308 Ta
0.0000 1.5038 0.0000 Ta
2.1955 1.5284 2.2308 Ta
0.0000 1.5818 4.3444 Ta
0.0000 4.7166 0.0000 Ta
0.0000 1.5818 8.8060 Ta
0.0000 0.0000 6.5752 Nb
2.1955 0.0000 0.0000 Fe
0.0000 0.0000 2.2221 Fe
2.1955 0.0000 4.3429 Fe
0.0000 3.1102 2.2324 Fe
0.0000 0.0000 10.9283 Fe
```

Calculated values
- SG = No. 71
- formation energy from the elements (eV/atom) = -0.103
- VASP energy (eV/atom) = -10.394
- volume (Å³/cell) = 180

=====

Entry 6:
The following is a PBE calculation of a relaxed structure of CsCuSn2, from Alexandria via LeMat-Bulk.

Geometry as POSCAR:
```
CsCuSn2
1.0
3.5916 0.0000 0.0000
0.0000 3.5916 0.0000
0.0000 0.0000 8.8534
Cs Cu Sn
1 1 2
Cartesian
0.0000 0.0000 0.0000 Cs
0.0000 0.0000 4.4267 Cu
1.7958 1.7958 2.9655 Sn
1.7958 1.7958 5.8879 Sn
```

Calculated values
- SG = No. 123
- formation energy from the elements (eV/atom) = 0.010
- VASP energy (eV/atom) = -3.229
- volume (Å³/cell) = 114

=====

Entry 7:
The following is a PBE calculation of a relaxed structure of SmSc5Tl4, from Alexandria via LeMat-Bulk.

Geometry as POSCAR:
```
SmSc5Tl4
1.0
3.4383 0.0000 0.0000
0.0000 3.4383 0.0000
0.0000 0.0000 20.7494
Sm Sc Tl
1 5 4
Cartesian
0.0000 0.0000 0.0000 Sm
1.7191 1.7191 2.4139 Sc
1.7191 1.7191 6.3661 Sc
1.7191 1.7191 10.3747 Sc
1.7191 1.7191 14.3833 Sc
1.7191 1.7191 18.3355 Sc
0.0000 0.0000 4.3636 Tl
0.0000 0.0000 8.3704 Tl
0.0000 0.0000 12.3791 Tl
0.0000 0.0000 16.3858 Tl
```

Calculated values
- SG = No. 123
- formation energy from the elements (eV/atom) = -0.206
- VASP energy (eV/atom) = -4.790
- volume (Å³/cell) = 245

=====

Entry 8:
The following is a PBE calculation of a relaxed structure of HoHg2Pd5, from Alexandria via LeMat-Bulk.

Geometry as POSCAR:
```
HoHg2Pd5
1.0
-2.1181 2.1181 7.9593
2.1181 -2.1181 7.9593
2.1181 2.1181 -7.9593
Ho Hg Pd
1 2 5
Cartesian
0.0000 0.0000 0.0000 Ho
0.0000 0.0000 4.0195 Hg
0.0000 0.0000 11.8990 Hg
2.1181 0.0000 1.9872 Pd
2.1181 0.0000 5.9720 Pd
0.0000 0.0000 7.9593 Pd
0.0000 2.1181 1.9872 Pd
0.0000 2.1181 5.9720 Pd
```

Calculated values
- SG = No. 139
- formation energy from the elements (eV/atom) = -0.499
- VASP energy (eV/atom) = -4.392
- relative energy among the computed polymorphs (meV/atom) = 0.0
- volume (Å³/cell) = 143

=====

Entry 9:
The following is a PBE calculation of a relaxed structure of Mg2TaCu, from Alexandria via LeMat-Bulk.

Geometry as POSCAR:
```
Mg2TaCu
1.0
2.9106 0.0000 0.0000
0.0000 2.9106 0.0000
0.0000 0.0000 8.1201
Mg Ta Cu
2 1 1
Cartesian
0.0000 0.0000 1.8116 Mg
0.0000 0.0000 6.3085 Mg
1.4553 1.4553 4.0600 Ta
1.4553 1.4553 0.0000 Cu
```

Calculated values
- SG = No. 123
- formation energy from the elements (eV/atom) = 0.119
- VASP energy (eV/atom) = -4.665
- relative energy among the computed polymorphs (meV/atom) = 26.5
- volume (Å³/cell) = 69

=====

Entry 10:
The following is a PBE calculation of a relaxed structure of Li2CeZnIn4, from Alexandria via LeMat-Bulk.

Geometry as POSCAR:
```
Li2CeZnIn4
1.0
2.4071 1.3897 9.0986
-2.4071 1.3897 9.0986
0.0000 -2.7795 9.0986
Li Ce Zn In
2 1 1 4
Cartesian
0.0000 0.0000 6.5608 Li
0.0000 0.0000 20.7350 Li
0.0000 0.0000 0.0000 Ce
0.0000 0.0000 13.6479 Zn
0.0000 0.0000 3.4252 In
0.0000 0.0000 10.7553 In
0.0000 0.0000 16.5406 In
0.0000 0.0000 23.8707 In
```

Calculated values
- SG = No. 166
- formation energy from the elements (eV/atom) = -0.208
- VASP energy (eV/atom) = -2.957
- volume (Å³/cell) = 183

=====

Entry 11:
The following is a PBE calculation of a relaxed structure of NaDy3Y2Te6, from Alexandria via LeMat-Bulk.

Geometry as POSCAR:
```
NaDy3Y2Te6
1.0
9.5621 -2.1806 0.0000
9.5621 2.1806 0.0000
-2.0554 0.0000 8.5609
Na Dy Y Te
1 3 2 6
Cartesian
0.0000 0.0000 0.0000 Na
-1.0277 0.0000 4.2805 Dy
6.0584 0.0000 1.4933 Dy
11.0104 0.0000 7.0676 Dy
4.9664 0.0000 5.6238 Y
12.1024 0.0000 2.9371 Y
1.9543 0.0000 5.0025 Te
3.0517 0.0000 0.7122 Te
7.9884 0.0000 6.3999 Te
9.0804 0.0000 2.1610 Te
14.0171 0.0000 7.8487 Te
15.1145 0.0000 3.5584 Te
```

Calculated values
- SG = No. 12
- VASP energy (eV/atom) = -5.219
- volume (Å³/cell) = 357

=====

Entry 12:
The following is a PBE calculation of a relaxed structure of Y2TiCd, from Alexandria via LeMat-Bulk.

Geometry as POSCAR:
```
Y2TiCd
1.0
1.6585 0.9575 11.2721
-1.6585 0.9575 11.2721
0.0000 -1.9151 11.2721
Y Ti Cd
2 1 1
Cartesian
0.0000 0.0000 2.9637 Y
0.0000 0.0000 30.8526 Y
0.0000 0.0000 0.0000 Ti
0.0000 0.0000 16.9081 Cd
```

Calculated values
- SG = No. 166
- formation energy from the elements (eV/atom) = 0.369
- VASP energy (eV/atom) = -5.066
- volume (Å³/cell) = 107